[1]
# KRbLi2Pb | Alexandria via LeMat-Bulk | PBE | relaxed
# **DOS at the Fermi energy**: 1.02 states/eV/cell
# **Energy**: -1.96 eV per atom
data_KRbLi2Pb
_symmetry_space_group_name_H-M 'P 4/m m m'
_symmetry_Int_Tables_number 123
_symmetry_space_group_name_Hall '-P 4 2'
_cell_length_a 5.638
_cell_length_b 5.638
_cell_length_c 6.637
_cell_angle_alpha 90.00
_cell_angle_beta 90.00
_cell_angle_gamma 90.00
loop_
_atom_site_label
_atom_site_type_symbol
_atom_site_fract_x
_atom_site_fract_y
_atom_site_fract_z
K1 K 0.000 0.000 0.000
Rb1 Rb 0.500 0.500 0.000
Li1 Li 0.000 0.500 0.500
Pb1 Pb 0.000 0.000 0.500



[2]
# KRb2LiPb | Alexandria via LeMat-Bulk | PBE | relaxed
# **DOS at the Fermi energy**: 3.96 states/eV/cell
# **Energy relative to the lowest polymorph listed for this composition**: 0 meV/atom
data_KRb2LiPb
_symmetry_space_group_name_H-M 'P 4/m m m'
_symmetry_Int_Tables_number 123
_symmetry_space_group_name_Hall '-P 4 2'
_cell_length_a 6.772
_cell_length_b 6.772
_cell_length_c 5.432
_cell_angle_alpha 90.00
_cell_angle_beta 90.00
_cell_angle_gamma 90.00
loop_
_atom_site_label
_atom_site_type_symbol
_atom_site_fract_x
_atom_site_fract_y
_atom_site_fract_z
K1 K 0.000 0.000 0.000
Rb1 Rb 0.000 0.500 0.500
Li1 Li 0.500 0.500 0.500
Pb1 Pb 0.500 0.500 0.000



[3]
# KRb2LiPb | Alexandria via LeMat-Bulk | PBE | relaxed
# **DOS at the Fermi energy**: 3.48 states/eV/cell
# **Energy relative to the lowest polymorph listed for this composition**: 28 meV/atom
data_KRb2LiPb
_symmetry_space_group_name_H-M 'P 4/m m m'
_symmetry_Int_Tables_number 123
_symmetry_space_group_name_Hall '-P 4 2'
_cell_length_a 7.252
_cell_length_b 7.252
_cell_length_c 5.573
_cell_angle_alpha 90.00
_cell_angle_beta 90.00
_cell_angle_gamma 90.00
loop_
_atom_site_label
_atom_site_type_symbol
_atom_site_fract_x
_atom_site_fract_y
_atom_site_fract_z
K1 K 0.000 0.000 0.000
Rb1 Rb 0.000 0.500 0.500
Li1 Li 0.500 0.500 0.000
Pb1 Pb 0.500 0.500 0.500